Below is crystalline BaNdMg2 at its relaxed geometry, with properties calculated at the PBE level.

abc: 3.756 3.756 34.483
angles: 90.00 90.00 120.00
Fractional positions:
Ba 0.000 0.000 0.000
Ba 0.333 0.667 0.667
Ba 0.667 0.333 0.333
Nd 0.000 0.000 0.500
Nd 0.333 0.667 0.167
Nd 0.667 0.333 0.833
Mg 0.000 0.000 0.245
Mg 0.000 0.000 0.755
Mg 0.333 0.667 0.422
Mg 0.333 0.667 0.912
Mg 0.667 0.333 0.088
Mg 0.667 0.333 0.578

M_tot	0.0	μB per cell
DFT total energy	-2.333	eV per atom
polymorph energy (0 for the lowest one)	193	meV/atom
energy of formation from the pure elements	0.14	eV/atom
SG	No. 166